1.
This record from Alexandria via LeMat-Bulk describes crystalline Pm3NdEr7 at its relaxed geometry. The functional is GGA-PBE.

a b c (Å): 5.816 8.422 8.422
angles (deg): 83.40 110.19 110.19
Element x y z (fractional)
Pm 0.000 0.789 0.211
Pm 0.500 0.000 0.000
Pm 0.000 0.211 0.789
Nd 0.500 0.500 0.500
Er 0.205 0.205 0.205
Er 0.289 0.982 0.596
Er 0.711 0.404 0.018
Er 0.289 0.596 0.982
Er 0.000 0.500 0.500
Er 0.711 0.018 0.404
Er 0.795 0.795 0.795

Properties
The symmetry is Immm, No. 71. The value obtained for the formation energy is 0.260 eV/atom.

2.
This record from Alexandria via LeMat-Bulk describes crystalline Pm2Nd2Er15 at its relaxed geometry. The functional is GGA-PBE.

a b c (Å): 8.679 8.679 8.679
angles (deg): 80.70 80.70 80.70
Element x y z (fractional)
Pm 0.664 0.664 0.664
Pm 0.336 0.336 0.336
Nd 0.880 0.880 0.880
Nd 0.120 0.120 0.120
Er 0.000 0.500 0.000
Er 0.000 0.000 0.500
Er 0.500 0.000 0.000
Er 0.304 0.000 0.696
Er 0.696 0.304 0.000
Er 0.000 0.696 0.304
Er 0.304 0.696 0.000
Er 0.000 0.304 0.696
Er 0.696 0.000 0.304
Er 0.364 0.847 0.364
Er 0.364 0.364 0.847
Er 0.847 0.364 0.364
Er 0.636 0.153 0.636
Er 0.636 0.636 0.153
Er 0.153 0.636 0.636

Properties
The symmetry is R-3m, No. 166. The value obtained for the formation energy is 0.281 eV/atom.

3.
This record from Alexandria via LeMat-Bulk describes crystalline PmNd4Er4 at its relaxed geometry. The functional is GGA-PBE.

a b c (Å): 5.087 8.054 8.054
angles (deg): 84.28 71.59 71.59
Element x y z (fractional)
Pm 0.000 0.000 0.000
Nd 0.668 0.665 0.000
Nd 0.332 0.335 0.000
Nd 0.667 0.000 0.665
Nd 0.333 0.000 0.335
Er 0.664 0.336 0.336
Er 0.336 0.664 0.664
Er 0.000 0.664 0.336
Er 0.000 0.336 0.664

Properties
The symmetry is I4/mmm, No. 139. The value obtained for the formation energy is 0.021 eV/atom.

4.
This record from Alexandria via LeMat-Bulk describes crystalline Pm4Nd5Er at its relaxed geometry. The functional is GGA-PBE.

a b c (Å): 3.650 10.338 9.653
angles (deg): 105.53 79.14 90.07
Element x y z (fractional)
Pm 0.301 0.100 0.399
Pm 0.901 0.296 0.199
Pm 0.699 0.900 0.601
Pm 0.099 0.704 0.801
Nd 0.300 0.600 0.400
Nd 0.902 0.803 0.198
Nd 0.098 0.197 0.802
Nd 0.500 0.500 0.000
Nd 0.700 0.400 0.600
Er 0.500 0.000 0.000

Properties
The symmetry is P-1, No. 2. The value obtained for the formation energy is 0.015 eV/atom.

5.
This record from Alexandria via LeMat-Bulk describes crystalline Pm3Nd4Er4 at its relaxed geometry. The functional is GGA-PBE.

a b c (Å): 5.742 6.690 10.754
angles (deg): 90.00 90.00 115.41
Element x y z (fractional)
Pm 0.411 0.822 0.290
Pm 0.411 0.822 0.710
Pm 0.253 0.507 0.000
Nd 0.753 0.506 0.789
Nd 0.753 0.506 0.211
Nd 0.883 0.765 0.500
Nd 0.960 0.920 0.000
Er 0.610 0.220 0.500
Er 0.555 0.110 0.000
Er 0.105 0.209 0.696
Er 0.105 0.209 0.304

Properties
The symmetry is Amm2, No. 38. The value obtained for the formation energy is 0.152 eV/atom.

6.
This record from Alexandria via LeMat-Bulk describes crystalline Pm3NdEr2 at its relaxed geometry. The functional is GGA-PBE.

a b c (Å): 3.498 5.952 10.419
angles (deg): 106.60 99.66 90.00
Element x y z (fractional)
Pm 0.000 0.500 0.000
Pm 0.808 0.808 0.616
Pm 0.192 0.192 0.384
Nd 0.000 0.000 0.000
Er 0.638 0.638 0.276
Er 0.362 0.362 0.724

Properties
The symmetry is Immm, No. 71. The value obtained for the formation energy is 0.335 eV/atom.

Number 1: M_tot 0.005 μB per formula unit. Number 2: M_tot 0.000 μB per formula unit. Number 3: M_tot 0.000 μB per formula unit. Number 4: M_tot 0.000 μB per formula unit. Number 5: M_tot 0.000 μB per formula unit. Number 6: M_tot 0.002 μB per formula unit.